1.
GGA-PBE MnSnI6, optimized geometry; E_form (uncorrected) = -2.34 eV per formula unit; uncorrected energy = -3.10 eV per atom
1.0
8.191 -0.841 -2.282
-4.364 5.596 -1.751
-0.078 0.755 7.452
Mn Sn I
1 1 6
Direct
0.000 0.000 0.000
0.500 0.000 0.000
0.933 0.151 0.295
0.639 0.856 0.705
0.361 0.144 0.295
0.067 0.849 0.705
0.253 0.503 0.000
0.747 0.497 0.000

=====

2.
GGA-PBE HfScAsS, optimized geometry; E_form (uncorrected) = -5.20 eV per formula unit; uncorrected energy = -7.57 eV per atom
1.0
3.666 -0.001 -0.001
-1.833 3.175 0.000
-1.833 -1.059 6.620
Hf Sc As S
1 1 1 1
Direct
0.308 0.552 0.875
0.961 0.379 0.355
0.134 0.965 0.114
0.475 0.136 0.626